No. 1
Here is a relaxed structure of Ti2ReP2 from Alexandria via LeMat-Bulk. Energies are from PBE-GGA.

Cell lengths 3.2670, 3.2670, 14.0312 Å; angles 90.00, 90.00, 90.00 degrees
Last column: nearest neighbours and their distance in Å.
Space group I4/mmm (No. 139)
Unique sites:
1 Ti 0.0000 0.0000 0.1057 x4  4 P 2.60, 4 Re 2.74
2 Re 0.0000 0.0000 0.5000 x2  8 Ti 2.74
3 P 0.0000 0.5000 0.2500 x4  4 P 2.31

Properties
**ΔE_f**: -361 meV per atom
**Magnetic moment**: 0.0 Bohr magnetons per cell



No. 2
Here is a relaxed structure of PrGa9Rh2 from Alexandria via LeMat-Bulk. Energies are from PBE-GGA.

Cell lengths 10.4763, 10.4763, 7.6567 Å; angles 90.00, 90.00, 90.00 degrees
Last column: nearest neighbours and their distance in Å.
Space group I4_1/amd (No. 141, origin choice 2)
Unique sites:
1 Pr 0.0000 0.2500 0.3750 x4  16 Ga 3.36-3.45
2 Ga 0.0000 0.2500 0.8750 x4  4 Rh 2.79, 8 Ga 2.89
3 Ga 0.1208 0.0442 0.6861 x32  4 Ga 2.53-2.79, 2 Rh 2.59-2.76
4 Rh 0.0000 0.0000 0.0000 x8  10 Ga 2.59-2.79

Properties
**ΔE_f**: -405 meV per atom
**Magnetic moment**: 0.0 Bohr magnetons per cell



No. 3
Here is a relaxed structure of Ba2Sr3Ca7 from Alexandria via LeMat-Bulk. Energies are from PBE-GGA.

Cell lengths 6.5793, 4.0753, 22.2606 Å; angles 90.00, 94.22, 90.00 degrees
Last column: nearest neighbours and their distance in Å.
Space group P2/m (No. 10)
Unique sites:
1 Ba 0.1976 0.0000 0.2872 x2  5 Ca 3.83-4.29, 2 Ba 4.08
2 Sr 0.0000 0.0000 0.0000 x1  8 Ca 3.76-3.87, 2 Sr 4.08
3 Sr 0.2816 0.5000 0.6239 x2  2 Sr 4.08, 6 Ca 4.18-4.29, 4 Ba 4.34-4.35
4 Ca 0.1694 0.5000 0.1368 x2  2 Sr 3.76, 7 Ca 3.87-4.08, 2 Ba 3.91
5 Ca 0.2398 0.0000 0.4597 x2  4 Ca 3.74-4.08, 1 Ba 3.83, 2 Sr 4.18
6 Ca 0.3280 0.0000 0.8349 x2  8 Ca 3.90-4.28, 2 Ba 4.24-4.29
7 Ca 0.5000 0.5000 0.0000 x1  4 Sr 3.87, 8 Ca 3.87-4.28

Properties
**ΔE_f**: 91 meV per atom
**Magnetic moment**: 0.0 Bohr magnetons per cell



No. 4
Here is a relaxed structure of UPdS4 from Alexandria via LeMat-Bulk. Energies are from PBE-GGA.

Cell lengths 6.7664, 6.3379, 6.3753 Å; angles 90.00, 111.07, 90.00 degrees
Last column: nearest neighbours and their distance in Å.
Space group P2_1/c (No. 14)
Unique sites:
1 U 0.0000 0.0000 0.0000 x2  8 S 2.64-2.78
2 Pd 0.5000 0.0000 0.5000 x2  4 S 2.34
3 S 0.2376 0.2497 0.3235 x4  1 Pd 2.34
4 S 0.2391 0.7489 0.3216 x4  1 Pd 2.34

Properties
**E_tot**: -6.193 eV/atom
**Magnetic moment**: 0.3 Bohr magnetons per cell



No. 5
Here is a relaxed structure of Ta2Cd2Au from Alexandria via LeMat-Bulk. Energies are from PBE-GGA.

Cell lengths 3.7003, 3.7003, 15.6262 Å; angles 90.00, 90.00, 90.00 degrees
Last column: nearest neighbours and their distance in Å.
Space group I4/mmm (No. 139)
Unique sites:
1 Ta 0.0000 0.5000 0.2500 x4  4 Ta 2.62
2 Cd 0.0000 0.0000 0.0929 x4  1 Cd 2.90, 4 Au 2.99, 4 Ta 3.07
3 Au 0.0000 0.0000 0.5000 x2  8 Cd 2.99

Properties
**ΔE_f**: 543 meV per atom
**Magnetic moment**: 0.0 Bohr magnetons per cell



No. 6
Here is a relaxed structure of Er8CdIn2 from Alexandria via LeMat-Bulk. Energies are from PBE-GGA.

Cell lengths 5.0917, 8.4955, 14.4504 Å; angles 90.00, 90.00, 90.00 degrees
Last column: nearest neighbours and their distance in Å.
Space group Immm (No. 71)
Unique sites:
1 Er 0.0000 0.0000 0.1422 x4  2 Cd 3.27, 8 Er 3.34-3.52, 2 In 3.44
2 Er 0.0000 0.2150 0.3442 x8  3 In 3.19-3.22, 1 Cd 3.31, 5 Er 3.41-3.52
3 Er 0.0000 0.3105 0.0000 x4  7 Er 3.22-3.41, 2 In 3.28
4 Cd 0.0000 0.5000 0.5000 x2  8 Er 3.27-3.31
5 In 0.0000 0.5000 0.1976 x4  10 Er 3.19-3.44

Properties
**ΔE_f**: -146 meV per atom
**Magnetic moment**: 0.0 Bohr magnetons per cell